Entry from Alexandria: crystalline HfZr2Os at its relaxed geometry (PBE-GGA).

The structure in CIF format:
```
data_HfZr2Os
_chemical_formula_sum 'Hf4 Zr8 Os4'
_space_group_name_H-M_alt 'F m -3 m'
_space_group_IT_number 225
_space_group_name_Hall '-F 4 2 3'
_cell_length_a 6.7770
_cell_length_b 6.7770
_cell_length_c 6.7770
_cell_angle_alpha 90.00
_cell_angle_beta 90.00
_cell_angle_gamma 90.00
loop_
_atom_site_label
_atom_site_fract_x
_atom_site_fract_y
_atom_site_fract_z
Hf1 0.0000 0.0000 0.0000
Zr1 0.2500 0.2500 0.2500
Os1 0.0000 0.0000 0.5000
```

## Properties
For the energy above the most stable polymorph in this dataset, the calculation gives 70 kJ/mol of formula units. The value obtained for the total energy is -154.80 eV/cell. Its formation energy is -0.4 eV/f.u.


Entry from Alexandria: crystalline Hf2Zr2Os at its relaxed geometry (PBE-GGA).

The structure in CIF format:
```
data_Hf2Zr2Os
_chemical_formula_sum 'Hf8 Zr8 Os4'
_space_group_name_H-M_alt 'I 41/a m d'
_space_group_IT_number 141
_cell_length_a 4.5642
_cell_length_b 4.5642
_cell_length_c 21.2585
_cell_angle_alpha 90.00
_cell_angle_beta 90.00
_cell_angle_gamma 90.00
loop_
_space_group_symop_operation_xyz
'x,y,z'
'-x,-y,-z'
'-y+1/4,x+3/4,z+1/4'
'y+1/4,-x+3/4,-z+1/4'
'-x+1/2,-y,z+1/2'
'x+1/2,y,-z+1/2'
'y+1/4,-x+1/4,z+3/4'
'-y+1/4,x+1/4,-z+3/4'
'x,-y,-z'
'-x,y,z'
'-y+1/4,-x+1/4,-z+3/4'
'y+1/4,x+1/4,z+3/4'
'-x+1/2,y,-z+1/2'
'x+1/2,-y,z+1/2'
'y+1/4,x+3/4,-z+1/4'
'-y+1/4,-x+3/4,z+1/4'
'x+1/2,y+1/2,z+1/2'
'-x+1/2,-y+1/2,-z+1/2'
'-y+3/4,x+1/4,z+3/4'
'y+3/4,-x+1/4,-z+3/4'
'-x,-y+1/2,z'
'x,y+1/2,-z'
'y+3/4,-x+3/4,z+1/4'
'-y+3/4,x+3/4,-z+1/4'
'x+1/2,-y+1/2,-z+1/2'
'-x+1/2,y+1/2,z+1/2'
'-y+3/4,-x+3/4,-z+1/4'
'y+3/4,x+3/4,z+1/4'
'-x,y+1/2,-z'
'x,-y+1/2,z'
'y+3/4,x+1/4,-z+3/4'
'-y+3/4,-x+1/4,z+3/4'
loop_
_atom_site_label
_atom_site_fract_x
_atom_site_fract_y
_atom_site_fract_z
Hf1 0.0000 0.2500 0.0512
Zr1 0.0000 0.2500 0.2013
Os1 0.0000 0.2500 0.3750
```

## Properties
The value obtained for the total energy is -196.08 eV/cell. Its formation energy is -0.8 eV/f.u.


Entry from Alexandria: crystalline HfZr2Os at its relaxed geometry (PBE-GGA).

The structure in CIF format:
```
data_HfZr2Os
_chemical_formula_sum 'Hf1 Zr2 Os1'
_space_group_name_H-M_alt 'P 4/m m m'
_space_group_IT_number 123
_space_group_name_Hall '-P 4 2'
_cell_length_a 3.2817
_cell_length_b 3.2817
_cell_length_c 7.4775
_cell_angle_alpha 90.00
_cell_angle_beta 90.00
_cell_angle_gamma 90.00
loop_
_atom_site_label
_atom_site_fract_x
_atom_site_fract_y
_atom_site_fract_z
Hf1 0.0000 0.0000 0.0000
Zr1 0.5000 0.5000 0.2804
Os1 0.0000 0.0000 0.5000
```

## Properties
For the energy above the most stable polymorph in this dataset, the calculation gives 25 kJ/mol of formula units. The value obtained for the total energy is -39.16 eV/cell. Its formation energy is -0.9 eV/f.u.


Entry from Alexandria: crystalline HfZr4Os5 at its relaxed geometry (PBE-GGA).

The structure in CIF format:
```
data_HfZr4Os5
_chemical_formula_sum 'Hf1 Zr4 Os5'
_space_group_name_H-M_alt 'P 4/m m m'
_space_group_IT_number 123
_space_group_name_Hall '-P 4 2'
_cell_length_a 3.2761
_cell_length_b 3.2761
_cell_length_c 16.4133
_cell_angle_alpha 90.00
_cell_angle_beta 90.00
_cell_angle_gamma 90.00
loop_
_atom_site_label
_atom_site_fract_x
_atom_site_fract_y
_atom_site_fract_z
Hf1 0.0000 0.0000 0.0000
Zr1 0.0000 0.0000 0.1992
Zr2 0.0000 0.0000 0.3998
Os1 0.5000 0.5000 0.0981
Os2 0.5000 0.5000 0.2993
Os3 0.5000 0.5000 0.5000
```

## Properties
The value obtained for the total energy is -105.87 eV/cell. Its formation energy is -5.6 eV/f.u.


Entry from Alexandria: crystalline Hf3Zr2Os2 at its relaxed geometry (PBE-GGA).

The structure in CIF format:
```
data_Hf3Zr2Os2
_chemical_formula_sum 'Hf6 Zr4 Os4'
_space_group_name_H-M_alt 'C 1 2/m 1'
_space_group_IT_number 12
_space_group_name_Hall '-C 2y'
_cell_length_a 11.2672
_cell_length_b 3.2984
_cell_length_c 8.6650
_cell_angle_alpha 90.00
_cell_angle_beta 116.33
_cell_angle_gamma 90.00
loop_
_atom_site_label
_atom_site_fract_x
_atom_site_fract_y
_atom_site_fract_z
Hf1 0.0000 0.0000 0.0000
Hf2 0.1136 0.0000 0.4387
Zr1 0.1548 0.5000 0.8270
Os1 0.1810 0.5000 0.2437
```

## Properties
The value obtained for the total energy is -143.35 eV/cell. Its formation energy is -2.3 eV/f.u.


Entry from Alexandria: crystalline Hf3ZrOs at its relaxed geometry (PBE-GGA).

The structure in CIF format:
```
data_Hf3ZrOs
_chemical_formula_sum 'Hf3 Zr1 Os1'
_space_group_name_H-M_alt 'P m -3 m'
_space_group_IT_number 221
_space_group_name_Hall '-P 4 2 3'
_cell_length_a 5.0020
_cell_length_b 5.0020
_cell_length_c 5.0020
_cell_angle_alpha 90.00
_cell_angle_beta 90.00
_cell_angle_gamma 90.00
loop_
_atom_site_label
_atom_site_fract_x
_atom_site_fract_y
_atom_site_fract_z
Hf1 0.0000 0.0000 0.5000
Zr1 0.5000 0.5000 0.5000
Os1 0.0000 0.0000 0.0000
```

## Properties
For the energy above the most stable polymorph in this dataset, the calculation gives 137 kJ/mol of formula units. The value obtained for the total energy is -47.68 eV/cell. Its formation energy is 2.0 eV/f.u.


What did the fourth record say?
Entry from Alexandria: crystalline HfZr4Os5 at its relaxed geometry (PBE-GGA).

The structure in CIF format:
```
data_HfZr4Os5
_chemical_formula_sum 'Hf1 Zr4 Os5'
_space_group_name_H-M_alt 'P 4/m m m'
_space_group_IT_number 123
_space_group_name_Hall '-P 4 2'
_cell_length_a 3.2761
_cell_length_b 3.2761
_cell_length_c 16.4133
_cell_angle_alpha 90.00
_cell_angle_beta 90.00
_cell_angle_gamma 90.00
loop_
_atom_site_label
_atom_site_fract_x
_atom_site_fract_y
_atom_site_fract_z
Hf1 0.0000 0.0000 0.0000
Zr1 0.0000 0.0000 0.1992
Zr2 0.0000 0.0000 0.3998
Os1 0.5000 0.5000 0.0981
Os2 0.5000 0.5000 0.2993
Os3 0.5000 0.5000 0.5000
```

## Properties
The value obtained for the total energy is -105.87 eV/cell. Its formation energy is -5.6 eV/f.u.